## NbCoNF2 (GGA+U)

Data for crystalline NbCoNF2 at its relaxed geometry.

Geometry as CIF:
```
data_NbCoNF2
_chemical_formula_sum 'Nb1 Co1 N1 F2'
_symmetry_space_group_name_H-M 'P 1'
_symmetry_Int_Tables_number 1
_symmetry_space_group_name_Hall 'P 1'
_cell_length_a 4.151
_cell_length_b 4.151
_cell_length_c 4.062
_cell_angle_alpha 90.00
_cell_angle_beta 90.00
_cell_angle_gamma 90.00
loop_
_atom_site_label
_atom_site_type_symbol
_atom_site_fract_x
_atom_site_fract_y
_atom_site_fract_z
_atom_site_occupancy
Nb1 Nb 0.000 0.000 0.000 1
Co1 Co 0.500 0.500 0.500 1
N1 N 0.000 0.000 0.500 1
F1 F 0.000 0.500 0.000 1
F2 F 0.500 0.000 0.000 1
```

Properties
The value obtained for the total energy is -31.6 eV per formula unit. For the relative energy among the computed polymorphs, the calculation gives 0.0 kJ/mol of atoms. The density of states at the Fermi level is 1.7 states/eV per cell. The symmetry is P4/mmm, No. 123.